a) TcNi2Ag | the Alexandria database | PBE-GGA | relaxed; ρ = 9.83 g/cm³
1.0
1.3464 0.7773 8.6939
-1.3464 0.7773 8.6939
0.0000 -1.5547 8.6939
Tc Ni Ag
1 2 1
direct
0.0000 0.0000 0.0000
0.2548 0.2548 0.2548
0.7452 0.7452 0.7452
0.5000 0.5000 0.5000

***

b) TcNi2Ag | the Alexandria database | PBE-GGA | relaxed; ρ = 8.92 g/cm³
1.0
-3.3418 3.3418 2.6934
3.3418 -3.3418 2.6934
3.3418 3.3418 -2.6934
Tc Ni Ag
2 4 2
direct
0.0000 0.0000 0.0000
0.7500 0.2500 0.5000
0.1004 0.6250 0.9754
0.3750 0.3504 0.4754
0.6496 0.1250 0.0246
0.8750 0.8996 0.5246
0.2500 0.7500 0.5000
0.5000 0.5000 0.0000

***

What is the most stable structure shown above? It is a).